Computed, not measured: a geometry-optimized ScTa2Cu structure at the PBE level of DFT.

CIF file:
```
data_ScTa2Cu
_chemical_formula_sum 'Sc4 Ta8 Cu4'
_cell_length_a 3.848
_cell_length_b 3.848
_cell_length_c 20.408
_cell_angle_alpha 90.00
_cell_angle_beta 90.00
_cell_angle_gamma 90.00
_symmetry_space_group_name_H-M 'I -4 2 d'
_symmetry_Int_Tables_number 122
_symmetry_space_group_name_Hall 'I -4 2bw'
loop_
_atom_site_label
_atom_site_fract_x
_atom_site_fract_y
_atom_site_fract_z
Sc1 0.000 0.000 0.000
Ta1 0.248 0.250 0.625
Cu1 0.000 0.000 0.500
```

Calculated values
V	18.9	Å³ per atom
energy relative to the elements	50	kJ/mol of atoms
crystal system	tetragonal
energy relative to the lowest polymorph listed for this composition	0.4510	eV per atom